Entry 1:
Compound: KEr3Pu2Te6
Source: the Alexandria database
Functional: GGA-PBE
Structure: relaxed

Unit cell a=19.495 b=4.373 c=9.033 alpha=90.00 beta=104.52 gamma=90.00
Space group C2/m (No. 12)
Symmetry-distinct sites (fractional):
1 K 0.000 0.000 0.000 [2 per cell]
2 Er 0.000 0.000 0.500 [2 per cell]
3 Er 0.165 0.500 0.829 [4 per cell]
4 Pu 0.169 0.500 0.337 [4 per cell]
5 Te 0.001 0.500 0.733 [4 per cell]
6 Te 0.164 0.000 0.587 [4 per cell]
7 Te 0.173 0.000 0.079 [4 per cell]

Computed properties:
Formation energy from raw total energies = -1.206 eV/atom
Theoretical density = 7.994 g/cm3


Entry 2:
Compound: K4Er3PuTe8
Source: the Alexandria database
Functional: GGA-PBE
Structure: relaxed

Unit cell a=8.9951 b=8.9951 c=24.6733 alpha=90.00 beta=90.00 gamma=120.00
Space group R-3m (No. 166, hexagonal axes)
Symmetry-distinct sites (fractional):
1 K 0.0000 0.0000 0.0000 [3 per cell]
2 K 0.0000 0.5000 0.0000 [9 per cell]
3 Er 0.0000 0.5000 0.5000 [9 per cell]
4 Pu 0.0000 0.0000 0.5000 [3 per cell]
5 Te 0.0000 0.0000 0.2355 [6 per cell]
6 Te 0.0058 0.5029 0.7641 [18 per cell]

Computed properties:
Formation energy from raw total energies = -1.306 eV/atom
Theoretical density = 5.541 g/cm3


Entry 3:
Compound: K3Er3PuTe8
Source: the Alexandria database
Functional: GGA-PBE
Structure: relaxed

Unit cell a=8.8535 b=8.8535 c=25.1023 alpha=90.00 beta=90.00 gamma=120.00
Space group R-3m (No. 166, hexagonal axes)
Symmetry-distinct sites (fractional):
1 K 0.0000 0.5000 0.0000 [9 per cell]
2 Er 0.0000 0.5000 0.5000 [9 per cell]
3 Pu 0.0000 0.0000 0.5000 [3 per cell]
4 Te 0.0000 0.0000 0.2357 [6 per cell]
5 Te 0.0027 0.5013 0.7650 [18 per cell]

Computed properties:
Formation energy from raw total energies = -1.255 eV/atom
Theoretical density = 5.508 g/cm3


Entry 4:
Compound: K2RbEr
Source: the Alexandria database
Functional: GGA-PBE
Structure: relaxed

Unit cell a=4.0826 b=4.0826 c=45.9338 alpha=90.00 beta=90.00 gamma=120.00
Space group R-3m (No. 166, hexagonal axes)
Symmetry-distinct sites (fractional):
1 K 0.0000 0.0000 0.2404 [6 per cell]
2 Rb 0.0000 0.0000 0.0000 [3 per cell]
3 Er 0.0000 0.0000 0.5000 [3 per cell]

Computed properties:
Formation energy = 0.405 eV per atom
Theoretical density = 2.486 g/cm3


Entry 5:
Compound: K3Er7S12
Source: the Alexandria database
Functional: GGA-PBE
Structure: relaxed

Unit cell a=3.955 b=11.895 c=24.794 alpha=90.00 beta=90.00 gamma=90.00
Space group Pmn2_1 (No. 31)
Symmetry-distinct sites (fractional):
1 K 0.000 0.047 0.000 [2 per cell]
2 K 0.000 0.303 0.346 [2 per cell]
3 K 0.000 0.448 0.731 [2 per cell]
4 Er 0.000 0.148 0.659 [2 per cell]
5 Er 0.000 0.257 0.869 [2 per cell]
6 Er 0.000 0.351 0.081 [2 per cell]
7 Er 0.000 0.521 0.452 [2 per cell]
8 Er 0.000 0.689 0.050 [2 per cell]
9 Er 0.000 0.815 0.689 [2 per cell]
10 Er 0.000 0.975 0.291 [2 per cell]
11 S 0.000 0.016 0.178 [2 per cell]
12 S 0.000 0.159 0.550 [2 per cell]
13 S 0.000 0.175 0.768 [2 per cell]
14 S 0.000 0.328 0.972 [2 per cell]
15 S 0.000 0.338 0.192 [2 per cell]
16 S 0.000 0.483 0.563 [2 per cell]
17 S 0.000 0.587 0.348 [2 per cell]
18 S 0.000 0.634 0.944 [2 per cell]
19 S 0.000 0.703 0.157 [2 per cell]
20 S 0.000 0.798 0.582 [2 per cell]
21 S 0.000 0.869 0.795 [2 per cell]
22 S 0.000 0.894 0.391 [2 per cell]

Computed properties:
Formation energy from raw total energies = -1.982 eV/atom
Theoretical density = 4.763 g/cm3


Entry 6:
Compound: KEr3S4
Source: the Alexandria database
Functional: GGA-PBE
Structure: relaxed

Unit cell a=3.9334 b=3.9334 c=27.3081 alpha=90.00 beta=90.00 gamma=120.00
Space group P6_3/mmc (No. 194)
Symmetry-distinct sites (fractional):
1 K 0.3333 0.6667 0.2500 [2 per cell]
2 Er 0.0000 0.0000 0.0000 [2 per cell]
3 Er 0.3333 0.6667 0.6143 [4 per cell]
4 S 0.0000 0.0000 0.1686 [4 per cell]
5 S 0.3333 0.6667 0.0570 [4 per cell]

Computed properties:
Formation energy from raw total energies = -1.911 eV/atom
Theoretical density = 6.074 g/cm3


Entry 7:
Compound: KEr6S8
Source: the Alexandria database
Functional: GGA-PBE
Structure: relaxed

Unit cell a=11.2286 b=11.2286 c=12.3791 alpha=90.00 beta=90.00 gamma=120.00
Space group R-3 (No. 148, hexagonal axes)
Symmetry-distinct sites (fractional):
1 K 0.0000 0.0000 0.0000 [3 per cell]
2 Er 0.0008 0.1854 0.3800 [18 per cell]
3 S 0.0000 0.0000 0.2481 [6 per cell]
4 S 0.0068 0.2762 0.5861 [18 per cell]

Computed properties:
Formation energy from raw total energies = -1.815 eV/atom
Theoretical density = 4.788 g/cm3


Entry 8:
Compound: K2ErSbS4
Source: the Alexandria database
Functional: GGA-PBE
Structure: relaxed

Unit cell a=8.298 b=8.418 c=11.828 alpha=90.00 beta=90.00 gamma=90.00
Space group Imma (No. 74)
Symmetry-distinct sites (fractional):
1 K 0.000 0.000 0.000 [4 per cell]
2 K 0.250 0.250 0.250 [4 per cell]
3 Er 0.250 0.250 0.750 [4 per cell]
4 Sb 0.000 0.000 0.500 [4 per cell]
5 S 0.000 0.033 0.736 [8 per cell]
6 S 0.224 0.250 0.517 [8 per cell]

Computed properties:
Formation energy from raw total energies = -1.263 eV/atom
Theoretical density = 3.983 g/cm3


Entry 9:
Compound: K3Er3SbS8
Source: the Alexandria database
Functional: GGA-PBE
Structure: relaxed

Unit cell a=7.9376 b=7.9376 c=22.4777 alpha=90.00 beta=90.00 gamma=120.00
Space group R-3m (No. 166, hexagonal axes)
Symmetry-distinct sites (fractional):
1 K 0.0000 0.5000 0.0000 [9 per cell]
2 Er 0.0000 0.5000 0.5000 [9 per cell]
3 Sb 0.0000 0.0000 0.5000 [3 per cell]
4 S 0.0000 0.0000 0.2328 [6 per cell]
5 S 0.0078 0.5039 0.2315 [18 per cell]

Computed properties:
Formation energy from raw total energies = -1.542 eV/atom
Theoretical density = 4.051 g/cm3


Entry 10:
Compound: K4Er3SbS8
Source: the Alexandria database
Functional: GGA-PBE
Structure: relaxed

Unit cell a=8.0775 b=8.0775 c=22.0395 alpha=90.00 beta=90.00 gamma=120.00
Space group R-3m (No. 166, hexagonal axes)
Symmetry-distinct sites (fractional):
1 K 0.0000 0.0000 0.0000 [3 per cell]
2 K 0.0000 0.5000 0.0000 [9 per cell]
3 Er 0.0000 0.5000 0.5000 [9 per cell]
4 Sb 0.0000 0.0000 0.5000 [3 per cell]
5 S 0.0000 0.0000 0.2334 [6 per cell]
6 S 0.0038 0.5019 0.7664 [18 per cell]

Computed properties:
Formation energy from raw total energies = -1.593 eV/atom
Theoretical density = 4.146 g/cm3


Entry 11:
Compound: K2Er2SbS6
Source: the Alexandria database
Functional: GGA-PBE
Structure: relaxed

Unit cell a=6.844 b=11.826 c=7.897 alpha=90.00 beta=106.69 gamma=90.00
Space group C2/m (No. 12)
Symmetry-distinct sites (fractional):
1 K 0.000 0.167 0.000 [4 per cell]
2 Er 0.000 0.333 0.500 [4 per cell]
3 Sb 0.000 0.000 0.500 [2 per cell]
4 S 0.228 0.164 0.694 [8 per cell]
5 S 0.240 0.500 0.694 [4 per cell]

Computed properties:
Formation energy from raw total energies = -1.396 eV/atom
Theoretical density = 3.943 g/cm3


Entry 12:
Compound: K3Er2ScS6
Source: the Alexandria database
Functional: GGA-PBE
Structure: relaxed

Unit cell a=6.858 b=11.880 c=7.688 alpha=90.00 beta=107.31 gamma=90.00
Space group C2/m (No. 12)
Symmetry-distinct sites (fractional):
1 K 0.000 0.000 0.000 [2 per cell]
2 K 0.000 0.332 0.000 [4 per cell]
3 Er 0.000 0.167 0.500 [4 per cell]
4 Sc 0.000 0.500 0.500 [2 per cell]
5 S 0.228 0.338 0.697 [8 per cell]
6 S 0.243 0.000 0.698 [4 per cell]

Computed properties:
Formation energy from raw total energies = -1.841 eV/atom
Theoretical density = 3.827 g/cm3